A plane-wave DFT calculation with PBE was carried out for an optimized crystal structure of Ho2HfIr3.

The structure in CIF format:
```
data_Ho2HfIr3
_symmetry_space_group_name_H-M 'P 1'
_symmetry_Int_Tables_number 1
_symmetry_space_group_name_Hall 'P 1'
_cell_length_a 4.743
_cell_length_b 4.743
_cell_length_c 5.882
_cell_angle_alpha 90.00
_cell_angle_beta 90.00
_cell_angle_gamma 120.00
loop_
_atom_site_label
_atom_site_type_symbol
_atom_site_fract_x
_atom_site_fract_y
_atom_site_fract_z
Ho1 Ho 0.333 0.667 0.663
Ir1 Ir 0.000 0.000 0.500
Ho2 Ho 0.667 0.333 0.337
Hf1 Hf 0.000 0.000 0.000
Ir2 Ir 0.333 0.667 0.144
Ir3 Ir 0.667 0.333 0.856
```

Properties
E_form in kJ/mol of atoms: -82.8
VASP energy in eV per atom: -8.4738
Symmetry: P-3m1